1.
A plane-wave DFT calculation with PBE was carried out for a relaxed ErSiAg crystal.

Properties
* density: 8.0 g/cm³
* space-group type: P-62m, No. 189
* E_tot: -4.4878 eV/atom

abc: 7.5674 7.5674 3.8178
angles: 90.00 90.00 120.00
Last column: nearest neighbours and their distance in Å.
Sites, in units of the cell vectors:
Si1 0.0000 0.0000 0.0000  6 Er 2.82, 3 Ag 2.92
Ag1 0.0000 0.6145 0.0000  5 Si 2.92-3.03, 6 Er 3.20-3.23
Er1 0.0000 0.2743 0.5000  4 Si 2.77-2.82
Si2 0.3333 0.6667 0.5000  3 Er 2.77, 6 Ag 3.03
Ag2 0.3855 0.3855 0.0000  5 Si 2.92-3.03, 6 Er 3.20-3.23
Si3 0.6667 0.3333 0.5000  3 Er 2.77, 6 Ag 3.03
Er2 0.7257 0.7257 0.5000  4 Si 2.77-2.82
Er3 0.2743 0.0000 0.5000  4 Si 2.77-2.82
Ag3 0.6145 0.0000 0.0000  5 Si 2.92-3.03, 6 Er 3.20-3.23

2.
A plane-wave DFT calculation with PBE was carried out for a relaxed ErSiAg crystal.

Properties
* density: 7.5 g/cm³
* space-group type: F-43m, No. 216
* E_tot: -4.6737 eV/atom

abc: 4.5556 4.5556 4.5556
angles: 60.00 60.00 60.00
Last column: nearest neighbours and their distance in Å.
Sites, in units of the cell vectors:
Si1 0.0000 0.0000 0.0000  4 Ag 2.79, 4 Er 2.79
Er1 0.7500 0.7500 0.7500  4 Si 2.79
Ag1 0.2500 0.2500 0.2500  4 Si 2.79

3.
A plane-wave DFT calculation with PBE was carried out for a relaxed ErSiAg crystal.

Properties
* density: 6.9 g/cm³
* space-group type: F-43m, No. 216
* E_tot: -4.1481 eV/atom

abc: 4.6873 4.6873 4.6873
angles: 60.00 60.00 60.00
Last column: nearest neighbours and their distance in Å.
Sites, in units of the cell vectors:
Si1 0.7500 0.7500 0.7500  4 Er 2.87
Ag1 0.2500 0.2500 0.2500  4 Er 2.87
Er1 0.0000 0.0000 0.0000  4 Ag 2.87, 4 Si 2.87